Compound: BeCrPb
Source: Alexandria
Functional: PBEsol
Structure: relaxed

Properties
Energy, eV/cell: -16.3
ΔH_f (0 K), eV/atom: 0.652
Calculated density, g/cm³: 9.53

abc: 3.125 3.125 5.270
angles: 107.25 107.25 90.00
Last column: magnetic moment on the atom in μB.
Atoms (fractional coordinates):
Pb  0.670  0.670  0.340  -0.04
Cr  0.370  0.370  0.740  1.97
Be  0.960  0.960  0.920  -0.02

***

Compound: K4AgPt
Source: Alexandria
Functional: PBEsol
Structure: relaxed

Properties
Energy, eV/cell: -10.9
ΔH_f (0 K), eV/atom: 0.647
Calculated density, g/cm³: 4.20

abc: 6.357 6.357 6.357
angles: 60.00 60.00 60.00
Atoms (fractional coordinates):
Ag  0.000  0.000  0.000
K  0.376  0.376  0.376
K  0.376  0.376  0.872
K  0.872  0.376  0.376
K  0.376  0.872  0.376
Pt  0.750  0.750  0.750

***

Compound: SrLiPb4
Source: Alexandria
Functional: PBEsol
Structure: relaxed

Properties
Energy, eV/cell: -21.1
ΔH_f (0 K), eV/atom: -0.209
Calculated density, g/cm³: 7.97

abc: 6.480 6.480 6.480
angles: 60.00 60.00 60.00
Atoms (fractional coordinates):
Li  0.000  0.000  0.000
Pb  0.375  0.375  0.375
Pb  0.375  0.375  0.875
Pb  0.875  0.375  0.375
Pb  0.375  0.875  0.375
Sr  0.750  0.750  0.750

***

Q: Which formula does entry 3 have?
A: SrLiPb4

***

Q: ΔH_f (0 K) of number 3 (SrLiPb4)?
A: -0.209 eV/atom

***

Q: Which value of energy does entry 3 give?
A: -21.1 eV/cell

***

Please write out number 2 again, unchanged.
Compound: K4AgPt
Source: Alexandria
Functional: PBEsol
Structure: relaxed

Properties
Energy, eV/cell: -10.9
ΔH_f (0 K), eV/atom: 0.647
Calculated density, g/cm³: 4.20

abc: 6.357 6.357 6.357
angles: 60.00 60.00 60.00
Atoms (fractional coordinates):
Ag  0.000  0.000  0.000
K  0.376  0.376  0.376
K  0.376  0.376  0.872
K  0.872  0.376  0.376
K  0.376  0.872  0.376
Pt  0.750  0.750  0.750